Record 1
# Ba2CaTe (PBE, relaxed)
# ΔE_f (raw) = -0.728 eV per atom
# Final energy = -11.90 eV per cell
data_Ba2CaTe
_cell_length_a 4.770
_cell_length_b 7.617
_cell_length_c 7.617
_cell_angle_alpha 42.19
_cell_angle_beta 90.00
_cell_angle_gamma 90.00
_symmetry_space_group_name_H-M 'P 1'
_symmetry_Int_Tables_number 1
_symmetry_space_group_name_Hall 'P 1'
loop_
_atom_site_label
_atom_site_type_symbol
_atom_site_fract_x
_atom_site_fract_y
_atom_site_fract_z
Ba1 Ba 0.000 0.000 0.000
Ba2 Ba 0.500 0.303 0.303
Ca1 Ca 0.000 0.709 0.709
Te1 Te 0.500 0.560 0.560

Record 2
# TcSeCl2 (PBE, relaxed)
# ΔE_f (raw) = 0.323 eV per atom
# Final energy = -16.25 eV per cell
data_TcSeCl2
_cell_length_a 2.973
_cell_length_b 2.973
_cell_length_c 9.541
_cell_angle_alpha 90.00
_cell_angle_beta 90.00
_cell_angle_gamma 90.00
_symmetry_space_group_name_H-M 'P 1'
_symmetry_Int_Tables_number 1
_symmetry_space_group_name_Hall 'P 1'
loop_
_atom_site_label
_atom_site_type_symbol
_atom_site_fract_x
_atom_site_fract_y
_atom_site_fract_z
Tc1 Tc 0.000 0.000 0.000
Se1 Se 0.000 0.000 0.500
Cl1 Cl 0.500 0.500 0.154
Cl2 Cl 0.500 0.500 0.846

Record 3
# Sr5DySb4 (PBE, relaxed)
# ΔE_f (raw) = -0.872 eV per atom
# Final energy = -38.22 eV per cell
data_Sr5DySb4
_cell_length_a 10.807
_cell_length_b 10.807
_cell_length_c 8.734
_cell_angle_alpha 113.78
_cell_angle_beta 113.78
_cell_angle_gamma 25.81
_symmetry_space_group_name_H-M 'P 1'
_symmetry_Int_Tables_number 1
_symmetry_space_group_name_Hall 'P 1'
loop_
_atom_site_label
_atom_site_type_symbol
_atom_site_fract_x
_atom_site_fract_y
_atom_site_fract_z
Sr1 Sr 0.000 0.000 0.000
Sr2 Sr 0.333 0.333 0.087
Sr3 Sr 0.333 0.333 0.579
Sr4 Sr 0.667 0.667 0.421
Sr5 Sr 0.667 0.667 0.913
Dy1 Dy 0.000 0.000 0.500
Sb1 Sb 0.192 0.192 0.692
Sb2 Sb 0.500 0.500 0.263
Sb3 Sb 0.500 0.500 0.737
Sb4 Sb 0.808 0.808 0.308

Record 4
# Nd2Dy6Ho3 (PBE, relaxed)
# Energy relative to the elements = 26 kJ per mole of atoms
# Final energy = -47.88 eV per cell
data_Nd2Dy6Ho3
_cell_length_a 16.959
_cell_length_b 16.959
_cell_length_c 16.959
_cell_angle_alpha 163.96
_cell_angle_beta 163.96
_cell_angle_gamma 22.76
_symmetry_space_group_name_H-M 'P 1'
_symmetry_Int_Tables_number 1
_symmetry_space_group_name_Hall 'P 1'
loop_
_atom_site_label
_atom_site_type_symbol
_atom_site_fract_x
_atom_site_fract_y
_atom_site_fract_z
Nd1 Nd 0.046 0.046 0.000
Nd2 Nd 0.954 0.954 0.000
Dy1 Dy 0.122 0.622 0.500
Dy2 Dy 0.196 0.196 0.000
Dy3 Dy 0.378 0.878 0.500
Dy4 Dy 0.622 0.122 0.500
Dy5 Dy 0.804 0.804 0.000
Dy6 Dy 0.878 0.378 0.500
Ho1 Ho 0.299 0.299 0.000
Ho2 Ho 0.500 0.500 0.000
Ho3 Ho 0.701 0.701 0.000

Record 5
# PuTiRh (PBE, relaxed)
# Energy relative to the elements = -21 kJ per mole of atoms
# Final energy = -30.24 eV per cell
data_PuTiRh
_cell_length_a 4.581
_cell_length_b 4.581
_cell_length_c 2.901
_cell_angle_alpha 90.00
_cell_angle_beta 90.00
_cell_angle_gamma 120.00
_symmetry_space_group_name_H-M 'P 1'
_symmetry_Int_Tables_number 1
_symmetry_space_group_name_Hall 'P 1'
loop_
_atom_site_label
_atom_site_type_symbol
_atom_site_fract_x
_atom_site_fract_y
_atom_site_fract_z
Pu1 Pu 0.000 0.000 0.000
Ti1 Ti 0.333 0.667 0.277
Rh1 Rh 0.667 0.333 0.665

Record 6
# SrCrBr4 (PBE, relaxed)
# ΔE_f (raw) = -0.018 eV per atom
# Final energy = -18.10 eV per cell
data_SrCrBr4
_cell_length_a 6.460
_cell_length_b 6.460
_cell_length_c 6.460
_cell_angle_alpha 60.00
_cell_angle_beta 60.00
_cell_angle_gamma 60.00
_symmetry_space_group_name_H-M 'P 1'
_symmetry_Int_Tables_number 1
_symmetry_space_group_name_Hall 'P 1'
loop_
_atom_site_label
_atom_site_type_symbol
_atom_site_fract_x
_atom_site_fract_y
_atom_site_fract_z
Sr1 Sr 0.000 0.000 0.000
Cr1 Cr 0.250 0.250 0.250
Br1 Br 0.127 0.624 0.624
Br2 Br 0.624 0.127 0.624
Br3 Br 0.624 0.624 0.127
Br4 Br 0.624 0.624 0.624

Record 7
# CsSc3Pd (PBE, relaxed)
# Energy relative to the elements = 141 kJ per mole of atoms
# Final energy = -17.73 eV per cell
data_CsSc3Pd
_cell_length_a 5.152
_cell_length_b 5.152
_cell_length_c 5.152
_cell_angle_alpha 90.00
_cell_angle_beta 90.00
_cell_angle_gamma 90.00
_symmetry_space_group_name_H-M 'P 1'
_symmetry_Int_Tables_number 1
_symmetry_space_group_name_Hall 'P 1'
loop_
_atom_site_label
_atom_site_type_symbol
_atom_site_fract_x
_atom_site_fract_y
_atom_site_fract_z
Cs1 Cs 0.000 0.000 0.000
Sc1 Sc 0.000 0.000 0.500
Sc2 Sc 0.000 0.500 0.000
Sc3 Sc 0.500 0.000 0.000
Pd1 Pd 0.500 0.500 0.500

Record 8
# Li8Ge (PBE, relaxed)
# Energy relative to the elements = -12 kJ per mole of atoms
# Final energy = -21.08 eV per cell
data_Li8Ge
_cell_length_a 6.385
_cell_length_b 6.385
_cell_length_c 6.385
_cell_angle_alpha 96.97
_cell_angle_beta 96.97
_cell_angle_gamma 139.22
_symmetry_space_group_name_H-M 'P 1'
_symmetry_Int_Tables_number 1
_symmetry_space_group_name_Hall 'P 1'
loop_
_atom_site_label
_atom_site_type_symbol
_atom_site_fract_x
_atom_site_fract_y
_atom_site_fract_z
Li1 Li 0.000 0.318 0.318
Li2 Li 0.000 0.682 0.682
Li3 Li 0.318 0.000 0.318
Li4 Li 0.347 0.347 0.695
Li5 Li 0.347 0.653 0.000
Li6 Li 0.653 0.347 0.000
Li7 Li 0.653 0.653 0.305
Li8 Li 0.682 0.000 0.682
Ge1 Ge 0.000 0.000 0.000